No. 1
The following is a DFT calculation (PBE) of an optimized crystal structure of Er2MgSc6.

Cell lengths 9.116, 9.116, 3.180 Å; angles 90.00, 90.00, 120.00 degrees
Fractional positions:
1 Er 0.333 0.667 0.000
2 Er 0.667 0.333 0.000
3 Mg 0.000 0.000 0.000
4 Sc 0.000 0.330 0.500
5 Sc 0.000 0.670 0.500
6 Sc 0.330 0.000 0.500
7 Sc 0.330 0.330 0.500
8 Sc 0.670 0.000 0.500
9 Sc 0.670 0.670 0.500

Summary:
Formation energy in eV per atom: 0.077
Uncorrected energy in eV per atom: -5.336
SG: P6/mmm (191)
Calculated density in g cm⁻³: 4.6
Volume in Å³ per atom: 25.430
Crystal system: hexagonal

No. 2
The following is a DFT calculation (PBE) of an optimized crystal structure of NaHPd2.

Cell lengths 7.963, 7.963, 7.963 Å; angles 20.90, 20.90, 20.90 degrees
Fractional positions:
1 Na 0.000 0.000 0.000
2 H 0.500 0.500 0.500
3 Pd 0.116 0.116 0.116
4 Pd 0.884 0.884 0.884

Summary:
Uncorrected energy in eV per atom: -3.722
SG: R-3m (166)
Calculated density in g cm⁻³: 7.0
Volume in Å³ per atom: 14.061
Crystal system: trigonal

> Look up the volume of the second one.

14.061 Å³ per atom

> Which formula does entry 1 have?

Er2MgSc6

> Among the records above, which one has the lowest calculated density?

Er2MgSc6